This record from the Alexandria database describes a relaxed structure of Hg2H4Pt3. The functional is GGA-PBE.

- Uncorrected energy: -64.0 eV per cell
- SG: C2/c, No. 15

Cell lengths 5.556, 5.556, 10.049 Å; angles 97.39, 97.39, 120.67 degrees
Positions (direct):
Hg (0.141, 0.357, 0.039)
Hg (0.357, 0.141, 0.539)
Hg (0.643, 0.859, 0.461)
Hg (0.859, 0.643, 0.961)
H (0.071, 0.452, 0.659)
H (0.137, 0.336, 0.356)
H (0.336, 0.137, 0.856)
H (0.452, 0.071, 0.159)
H (0.548, 0.929, 0.841)
H (0.664, 0.863, 0.144)
H (0.863, 0.664, 0.644)
H (0.929, 0.548, 0.341)
Pt (0.203, 0.797, 0.750)
Pt (0.210, 0.310, 0.769)
Pt (0.310, 0.210, 0.269)
Pt (0.690, 0.790, 0.731)
Pt (0.790, 0.690, 0.231)
Pt (0.797, 0.203, 0.250)

This record from the Alexandria database describes a relaxed structure of Mg2Cd3Sn2. The functional is GGA-PBE.

- Uncorrected energy: -28.6 eV per cell
- SG: C2/m, No. 12

Cell lengths 10.547, 4.448, 7.144 Å; angles 90.00, 98.57, 90.00 degrees
Positions (direct):
Mg (0.140, 0.000, 0.424)
Mg (0.360, 0.500, 0.576)
Mg (0.640, 0.500, 0.424)
Mg (0.860, 0.000, 0.576)
Cd (0.000, 0.000, 0.000)
Cd (0.206, 0.500, 0.149)
Cd (0.294, 0.000, 0.851)
Cd (0.500, 0.500, 0.000)
Cd (0.706, 0.000, 0.149)
Cd (0.794, 0.500, 0.851)
Sn (0.080, 0.500, 0.713)
Sn (0.420, 0.000, 0.287)
Sn (0.580, 0.000, 0.713)
Sn (0.920, 0.500, 0.287)

This record from the Alexandria database describes a relaxed structure of Cu2ReCl. The functional is GGA-PBE.

- Uncorrected formation energy: 0.585 eV/atom
- ΔE to the lowest computed polymorph: 249 meV/atom
- SG: Pm, No. 6

Cell lengths 2.723, 4.326, 4.860 Å; angles 90.00, 90.58, 90.00 degrees
Positions (direct):
Cu (0.000, 0.000, 0.000)
Cu (0.020, 0.500, 0.738)
Re (0.512, 0.500, 0.227)
Cl (0.519, 0.000, 0.450)

This record from the Alexandria database describes a relaxed structure of Nb2TcTe6. The functional is GGA-PBE.

- Uncorrected formation energy: -0.143 eV/atom
- SG: P2_1/c, No. 14

Cell lengths 7.002, 7.159, 10.343 Å; angles 90.00, 121.76, 90.00 degrees
Positions (direct):
Nb (0.241, 0.140, 0.254)
Nb (0.241, 0.360, 0.754)
Nb (0.759, 0.640, 0.246)
Nb (0.759, 0.860, 0.746)
Tc (0.000, 0.000, 0.500)
Tc (0.000, 0.500, 0.000)
Te (0.087, 0.160, 0.927)
Te (0.087, 0.340, 0.427)
Te (0.310, 0.668, 0.947)
Te (0.310, 0.832, 0.447)
Te (0.397, 0.001, 0.761)
Te (0.397, 0.499, 0.261)
Te (0.603, 0.501, 0.739)
Te (0.603, 0.999, 0.239)
Te (0.690, 0.168, 0.553)
Te (0.690, 0.332, 0.053)
Te (0.913, 0.660, 0.573)
Te (0.913, 0.840, 0.073)

This record from the Alexandria database describes a relaxed structure of SrBe2FeAs. The functional is GGA-PBE.

- Uncorrected energy: -17.8 eV per cell
- SG: P4/mmm, No. 123

Cell lengths 4.350, 4.350, 5.823 Å; angles 90.00, 90.00, 90.00 degrees
Positions (direct):
Sr (0.000, 0.000, 0.000)
Be (0.000, 0.500, 0.500)
Be (0.500, 0.000, 0.500)
Fe (0.500, 0.500, 0.000)
As (0.000, 0.000, 0.500)

This record from the Alexandria database describes a relaxed structure of HfZnW2. The functional is GGA-PBE.

- Uncorrected energy: -135.3 eV per cell
- SG: I-42d, No. 122

Cell lengths 7.457, 7.457, 5.237 Å; angles 90.00, 90.00, 90.00 degrees
Positions (direct):
Hf (0.000, 0.000, 0.000)
Hf (0.000, 0.500, 0.250)
Hf (0.500, 0.000, 0.750)
Hf (0.500, 0.500, 0.500)
Zn (0.000, 0.000, 0.500)
Zn (0.000, 0.500, 0.750)
Zn (0.500, 0.000, 0.250)
Zn (0.500, 0.500, 0.000)
W (0.216, 0.250, 0.625)
W (0.250, 0.716, 0.875)
W (0.250, 0.784, 0.375)
W (0.284, 0.250, 0.125)
W (0.716, 0.750, 0.125)
W (0.750, 0.216, 0.375)
W (0.750, 0.284, 0.875)
W (0.784, 0.750, 0.625)

Number 1: spin magnetization 0.00 Bohr magnetons per cell. Number 2: spin magnetization 0.00 Bohr magnetons per cell. Number 3: spin magnetization 0.00 Bohr magnetons per cell. Number 4: spin magnetization 0.00 Bohr magnetons per cell. Number 5: spin magnetization 2.30 Bohr magnetons per cell. Number 6: spin magnetization 0.00 Bohr magnetons per cell.